VASP calculation (PBE) on a geometry-optimized SmZr2Tc9 structure.

Structure (POSCAR):
```
SmZr2Tc9
1.0
5.063 0.000 1.507
2.307 4.507 1.507
0.017 0.011 9.201
Sm Zr Tc
1 2 9
Direct
0.000 0.000 0.000
0.857 0.857 0.429
0.143 0.143 0.571
0.664 0.664 0.009
0.336 0.336 0.991
0.500 0.500 0.500
0.410 0.410 0.257
0.924 0.410 0.257
0.410 0.924 0.257
0.590 0.590 0.743
0.590 0.076 0.743
0.076 0.590 0.743
```

Properties
The value obtained for the formation energy is -116 meV per atom. The calculation puts the density of states at the Fermi level at 15.22 states/eV per cell.

VASP calculation (PBE) on a geometry-optimized Sm3Te2 structure.

Structure (POSCAR):
```
Sm3Te2
1.0
4.221 0.000 0.000
0.000 11.949 0.000
0.000 0.000 12.133
Sm Te
12 8
Direct
0.250 0.624 0.546
0.250 0.876 0.046
0.750 0.376 0.454
0.750 0.124 0.954
0.750 0.064 0.621
0.750 0.436 0.121
0.250 0.936 0.379
0.250 0.564 0.879
0.250 0.293 0.713
0.250 0.207 0.213
0.750 0.707 0.287
0.750 0.793 0.787
0.250 0.183 0.471
0.250 0.317 0.971
0.750 0.817 0.529
0.750 0.683 0.029
0.750 0.495 0.693
0.750 0.005 0.193
0.250 0.505 0.307
0.250 0.995 0.807
```

Properties
The uncorrected formation energy comes out at -1.126 eV/atom. For the offset from the most stable computed form, the calculation gives 0.000 eV per formula unit. The calculation puts the density of states at the Fermi level at 16.04 states/eV per cell.